No. 1
{
  "formula": "YGeOF2",
  "functional": "PBE",
  "state": "relaxed",
  "lattice_angstrom": [[4.344, 0.000, 0.000], [0.000, 4.344, 0.000], [0.000, 0.000, 4.155]],
  "species": ["O", "F", "F", "Ge", "Y"],
  "frac_coords": [[0.000, 0.000, 0.500], [0.500, 0.000, 0.000], [0.000, 0.500, 0.000], [0.000, 0.000, 0.000], [0.500, 0.500, 0.500]],
  "de_polymorph_kj_per_mol_atoms": 66.4,
  "volume_a3_per_atom": 15.7
}

=====

No. 2
{
  "formula": "YGeOF2",
  "functional": "PBE",
  "state": "relaxed",
  "lattice_angstrom": [[-1.894, 1.369, -3.732], [2.809, -2.465, -2.329], [-2.835, -3.409, 0.188]],
  "species": ["F", "F", "O", "Ge", "Y"],
  "frac_coords": [[0.000, 0.500, 0.000], [0.500, 0.000, 0.000], [0.000, 0.000, 0.500], [0.500, 0.500, 0.500], [0.000, 0.000, 0.000]],
  "de_polymorph_kj_per_mol_atoms": 0.0,
  "volume_a3_per_atom": 17.2
}

=====

No. 3
{
  "formula": "Y6Ge2O13F3",
  "functional": "PBE",
  "state": "relaxed",
  "lattice_angstrom": [[5.434, 0.015, 0.030], [1.640, 5.820, 0.013], [0.139, 0.164, 10.349]],
  "species": ["Y", "Y", "Y", "Y", "Y", "Y", "O", "O", "O", "O", "O", "O", "O", "O", "O", "O", "O", "O", "O", "F", "F", "F", "Ge", "Ge"],
  "frac_coords": [[0.815, 0.305, 0.962], [0.714, 0.807, 0.750], [0.177, 0.710, 0.042], [0.280, 0.190, 0.253], [0.183, 0.702, 0.450], [0.803, 0.297, 0.552], [0.955, 0.467, 0.133], [0.795, 0.943, 0.953], [0.918, 0.106, 0.764], [0.037, 0.532, 0.629], [0.096, 0.876, 0.248], [0.952, 0.458, 0.373], [0.520, 0.817, 0.266], [0.507, 0.386, 0.379], [0.480, 0.621, 0.623], [0.052, 0.527, 0.870], [0.493, 0.596, 0.873], [0.495, 0.190, 0.720], [0.506, 0.403, 0.130], [0.229, 0.071, 0.028], [0.792, 0.931, 0.527], [0.205, 0.067, 0.476], [0.306, 0.483, 0.746], [0.689, 0.517, 0.255]],
  "volume_a3_per_atom": 13.6,
  "e_tot_ry_per_atom": -0.572
}

=====

No. 4
{
  "formula": "Y4GeO8F2",
  "functional": "PBE",
  "state": "relaxed",
  "lattice_angstrom": [[-0.140, -5.188, -2.174], [6.067, 1.751, 1.088], [-1.263, -0.257, 6.787]],
  "species": ["O", "O", "O", "O", "O", "O", "O", "O", "Y", "Y", "Y", "Y", "F", "F", "Ge"],
  "frac_coords": [[0.259, 0.040, 0.993], [0.941, 0.262, 0.402], [0.417, 0.433, 0.771], [0.738, 0.973, 0.013], [0.515, 0.575, 0.167], [0.156, 0.641, 0.173], [0.096, 0.722, 0.649], [0.885, 0.345, 0.803], [0.553, 0.938, 0.255], [0.127, 0.278, 0.142], [0.447, 0.070, 0.750], [0.864, 0.716, 0.876], [0.373, 0.135, 0.411], [0.638, 0.864, 0.596], [0.085, 0.442, 0.642]],
  "volume_a3_per_atom": 14.5,
  "e_tot_ry_per_atom": -0.579
}

=====

No. 5
{
  "formula": "ZnGeO2F",
  "functional": "PBE",
  "state": "relaxed",
  "lattice_angstrom": [[3.882, 0.000, 0.000], [0.000, 3.882, 0.000], [0.000, 0.000, 4.037]],
  "species": ["O", "O", "F", "Zn", "Ge"],
  "frac_coords": [[0.000, 0.500, 0.000], [0.500, 0.000, 0.000], [0.000, 0.000, 0.500], [0.000, 0.000, 0.000], [0.500, 0.500, 0.500]],
  "volume_a3_per_atom": 12.2,
  "e_tot_ry_per_atom": -0.322
}

=====

No. 6
{
  "formula": "ZnGeOF2",
  "functional": "PBE",
  "state": "relaxed",
  "lattice_angstrom": [[3.959, 0.000, 0.000], [0.000, 3.959, 0.000], [0.000, 0.000, 4.106]],
  "species": ["O", "F", "F", "Zn", "Ge"],
  "frac_coords": [[0.000, 0.000, 0.500], [0.500, 0.000, 0.000], [0.000, 0.500, 0.000], [0.000, 0.000, 0.000], [0.500, 0.500, 0.500]],
  "de_polymorph_kj_per_mol_atoms": 0.0,
  "volume_a3_per_atom": 12.9
}